Entry 1:
DFT (PBE) results for a relaxed structure of Tb3ScPb4.

The structure belongs to space group Pmna (No. 53); the cell edges are 11.006, 6.370 and 6.372 Å and the angles 90.00°, 90.00° and 90.00°. The asymmetric unit holds Tb at (0.000, 0.000, 0.000), Tb at (0.250, 0.257, 0.250), Sc at (0.000, 0.500, 0.500), Pb at (0.000, 0.000, 0.500), Pb at (0.000, 0.500, 0.000) and Pb at (0.250, 0.246, 0.750).

For the energy relative to the elements, the calculation gives -3.4 eV per formula unit. As for the electronic total energy: -38.41 eV/f.u. As for the density of states at the Fermi level: 10.8 states/eV per cell.



Entry 2:
DFT (PBE) results for a relaxed structure of Tb3Sc2Pb4.

The structure belongs to space group C2/m (No. 12); the cell edges are 12.533, 4.989 and 9.665 Å and the angles 90.00°, 123.53° and 90.00°. The asymmetric unit holds Tb at (0.000, 0.000, 0.000), Tb at (0.152, 0.500, 0.692), Sc at (0.141, 0.500, 0.317), Pb at (0.073, 0.000, 0.402) and Pb at (0.171, 0.500, 0.034).

For the energy relative to the elements, the calculation gives -3.8 eV per formula unit. As for the electronic total energy: -45.19 eV/f.u. As for the density of states at the Fermi level: 12.5 states/eV per cell.



Entry 3:
DFT (PBE) results for a relaxed structure of Tb3ScPb5.

The structure belongs to space group P6_3/mcm (No. 193); the cell edges are 9.4775, 9.4775 and 6.4295 Å and the angles 90.00°, 90.00° and 120.00°. The asymmetric unit holds Tb at (0.0000, 0.3836, 0.2500), Sc at (0.0000, 0.0000, 0.0000), Pb at (0.0000, 0.2762, 0.7500) and Pb at (0.3333, 0.6667, 0.0000).

For the energy relative to the elements, the calculation gives -3.8 eV per formula unit. As for the electronic total energy: -42.59 eV/f.u. As for the density of states at the Fermi level: 15.2 states/eV per cell.



Entry 4:
DFT (PBE) results for a relaxed structure of TbScZnPb.

The structure belongs to space group F-43m (No. 216); the cell edges are 7.233, 7.233 and 7.233 Å and the angles 90.00°, 90.00° and 90.00°. The asymmetric unit holds Tb at (0.000, 0.000, 0.000), Sc at (0.000, 0.000, 0.500), Zn at (0.250, 0.250, 0.750) and Pb at (0.250, 0.250, 0.250).

For the energy relative to the elements, the calculation gives -1.3 eV per formula unit. As for the electronic total energy: -17.29 eV/f.u. As for the density of states at the Fermi level: 10.8 states/eV per cell.



Entry 5:
DFT (PBE) results for a relaxed structure of Sc4TcPb.

The structure belongs to space group F-43m (No. 216); the cell edges are 8.005, 8.005 and 8.005 Å and the angles 90.00°, 90.00° and 90.00°. The asymmetric unit holds Sc at (0.123, 0.123, 0.123), Tc at (0.250, 0.250, 0.750) and Pb at (0.000, 0.000, 0.500).

For the energy relative to the elements, the calculation gives 2.3 eV per formula unit. Its energy above the lowest structure with this stoichiometry is 0.665 eV per atom. As for the electronic total energy: -37.13 eV/f.u. As for the density of states at the Fermi level: 32.5 states/eV per cell.



Entry 6:
DFT (PBE) results for a relaxed structure of Sc2TcPb.

The structure belongs to space group P4mm (No. 99); the cell edges are 3.544, 3.544 and 6.566 Å and the angles 90.00°, 90.00° and 90.00°. The asymmetric unit holds Sc at (0.000, 0.000, 0.000), Sc at (0.500, 0.500, 0.287), Tc at (0.000, 0.000, 0.503) and Pb at (0.500, 0.500, 0.735).

For the energy relative to the elements, the calculation gives 0.1 eV per formula unit. As for the electronic total energy: -26.68 eV/f.u. As for the density of states at the Fermi level: 3.2 states/eV per cell.



Entry 7:
DFT (PBE) results for a relaxed structure of Sc2TcPb.

The structure belongs to space group Pm (No. 6); the cell edges are 3.316, 4.646 and 5.531 Å and the angles 90.00°, 102.09° and 90.00°. The asymmetric unit holds Sc at (0.000, 0.000, 0.000), Sc at (0.234, 0.500, 0.658), Tc at (0.573, 0.500, 0.128) and Pb at (0.654, 0.000, 0.455).

For the energy relative to the elements, the calculation gives -0.3 eV per formula unit. As for the electronic total energy: -27.06 eV/f.u. As for the density of states at the Fermi level: 5.7 states/eV per cell.



Entry 8:
DFT (PBE) results for a relaxed structure of Sc2TcPb.

The structure belongs to space group I-4m2 (No. 119); the cell edges are 4.245, 4.245 and 8.933 Å and the angles 90.00°, 90.00° and 90.00°. The asymmetric unit holds Sc at (0.000, 0.000, 0.000), Sc at (0.000, 0.500, 0.250), Tc at (0.000, 0.500, 0.750) and Pb at (0.000, 0.000, 0.500).

For the energy relative to the elements, the calculation gives -0.3 eV per formula unit. As for the electronic total energy: -27.03 eV/f.u. As for the density of states at the Fermi level: 8.8 states/eV per cell.



Entry 9:
DFT (PBE) results for a relaxed structure of Sc2TcPb.

The structure belongs to space group Cmm2 (No. 35); the cell edges are 3.495, 5.264 and 9.486 Å and the angles 90.00°, 90.00° and 90.00°. The asymmetric unit holds Sc at (0.000, 0.000, 0.000), Sc at (0.000, 0.500, 0.285), Tc at (0.000, 0.000, 0.493) and Pb at (0.000, 0.500, 0.727).

For the energy relative to the elements, the calculation gives 0.8 eV per formula unit. As for the electronic total energy: -25.90 eV/f.u. As for the density of states at the Fermi level: 11.4 states/eV per cell.



Entry 10:
DFT (PBE) results for a relaxed structure of ScTcPb.

The structure belongs to space group Fmm2 (No. 42); the cell edges are 3.557, 5.189 and 13.580 Å and the angles 90.00°, 90.00° and 90.00°. The asymmetric unit holds Sc at (0.000, 0.000, 0.000), Tc at (0.000, 0.000, 0.643) and Pb at (0.000, 0.000, 0.306).

For the energy relative to the elements, the calculation gives 0.6 eV per formula unit. Its energy above the lowest structure with this stoichiometry is 0.315 eV per atom. As for the electronic total energy: -19.77 eV/f.u. As for the density of states at the Fermi level: 12.9 states/eV per cell.



Entry 11:
DFT (PBE) results for a relaxed structure of Sc2TcPb.

The structure belongs to space group F-43m (No. 216); the cell edges are 6.792, 6.792 and 6.792 Å and the angles 90.00°, 90.00° and 90.00°. The asymmetric unit holds Sc at (0.000, 0.000, 0.000), Sc at (0.250, 0.250, 0.250), Tc at (0.250, 0.250, 0.750) and Pb at (0.000, 0.000, 0.500).

For the energy relative to the elements, the calculation gives -0.2 eV per formula unit. As for the electronic total energy: -26.98 eV/f.u. As for the density of states at the Fermi level: 21.2 states/eV per cell.



Entry 12:
DFT (PBE) results for a relaxed structure of Sc2TcPb.

The structure belongs to space group I-42d (No. 122); the cell edges are 7.843, 7.843 and 5.777 Å and the angles 90.00°, 90.00° and 90.00°. The asymmetric unit holds Sc at (0.185, 0.750, 0.125), Tc at (0.000, 0.000, 0.000) and Pb at (0.000, 0.000, 0.500).

For the energy relative to the elements, the calculation gives 0.6 eV per formula unit. As for the electronic total energy: -26.14 eV/f.u. As for the density of states at the Fermi level: 15.0 states/eV per cell.



Entry 13:
DFT (PBE) results for a relaxed structure of ScTcPb3.

The structure belongs to space group Pm-3m (No. 221); the cell edges are 5.303, 5.303 and 5.303 Å and the angles 90.00°, 90.00° and 90.00°. The asymmetric unit holds Sc at (0.000, 0.000, 0.000), Tc at (0.500, 0.500, 0.500) and Pb at (0.000, 0.500, 0.500).

For the energy relative to the elements, the calculation gives 2.9 eV per formula unit. Its energy above the lowest structure with this stoichiometry is 0.000 eV per atom. As for the electronic total energy: -24.94 eV/f.u. As for the density of states at the Fermi level: 4.3 states/eV per cell.



Entry 14:
DFT (PBE) results for a relaxed structure of Sc2TcPb.

The structure belongs to space group Cm (No. 8); the cell edges are 10.924, 3.511 and 4.726 Å and the angles 90.00°, 114.86° and 90.00°. The asymmetric unit holds Sc at (0.000, 0.000, 0.000), Sc at (0.223, 0.000, 0.726), Tc at (0.217, 0.500, 0.227) and Pb at (0.450, 0.000, 0.450).

For the energy relative to the elements, the calculation gives -0.4 eV per formula unit. As for the electronic total energy: -27.19 eV/f.u. As for the density of states at the Fermi level: 8.0 states/eV per cell.